*a*
An optimized crystal structure of TaNb2Au. Source: the Alexandria database, functional PBE.

Geometry as CIF:
```
data_TaNb2Au
_space_group_name_H-M_alt 'F m -3 m'
_space_group_IT_number 225
_space_group_name_Hall '-F 4 2 3'
_cell_length_a 6.617
_cell_length_b 6.617
_cell_length_c 6.617
_cell_angle_alpha 90.00
_cell_angle_beta 90.00
_cell_angle_gamma 90.00
loop_
_atom_site_label
_atom_site_fract_x
_atom_site_fract_y
_atom_site_fract_z
Ta1 0.000 0.000 0.000
Nb1 0.250 0.250 0.250
Au1 0.000 0.000 0.500
```

The crystal system is cubic. The density of states at the Fermi level is 12.4 states/eV per cell.

***

*b*
An optimized crystal structure of TaNb2Au. Source: the Alexandria database, functional PBE.

Geometry as CIF:
```
data_TaNb2Au
_space_group_name_H-M_alt 'P 4 m m'
_space_group_IT_number 99
_cell_length_a 3.405
_cell_length_b 3.405
_cell_length_c 6.251
_cell_angle_alpha 90.00
_cell_angle_beta 90.00
_cell_angle_gamma 90.00
loop_
_space_group_symop_operation_xyz
'x,y,z'
'-y,x,z'
'-x,-y,z'
'y,-x,z'
'-x,y,z'
'y,x,z'
'x,-y,z'
'-y,-x,z'
loop_
_atom_site_label
_atom_site_fract_x
_atom_site_fract_y
_atom_site_fract_z
Ta1 0.000 0.000 0.000
Nb1 0.000 0.000 0.477
Nb2 0.500 0.500 0.239
Au1 0.500 0.500 0.741
```

The crystal system is tetragonal. The density of states at the Fermi level is 3.4 states/eV per cell.

***

It is *a* that is the least stable of them.

***

*a*
An optimized crystal structure of TaNb2Au. Source: the Alexandria database, functional PBE.

Geometry as CIF:
```
data_TaNb2Au
_space_group_name_H-M_alt 'I -4 2 d'
_space_group_IT_number 122
_space_group_name_Hall 'I -4 2bw'
_cell_length_a 3.945
_cell_length_b 3.945
_cell_length_c 20.037
_cell_angle_alpha 90.00
_cell_angle_beta 90.00
_cell_angle_gamma 90.00
loop_
_atom_site_label
_atom_site_fract_x
_atom_site_fract_y
_atom_site_fract_z
Ta1 0.000 0.000 0.000
Nb1 0.240 0.250 0.125
Au1 0.000 0.000 0.500
```

The crystal system is tetragonal. The density of states at the Fermi level is 9.5 states/eV per cell.

***

*b*
An optimized crystal structure of TaNb2Au. Source: the Alexandria database, functional PBE.

Geometry as CIF:
```
data_TaNb2Au
_space_group_name_H-M_alt 'R -3 m'
_space_group_IT_number 166
_space_group_name_Hall '-R 3 2"'
_cell_length_a 3.1537
_cell_length_b 3.1537
_cell_length_c 26.3359
_cell_angle_alpha 90.00
_cell_angle_beta 90.00
_cell_angle_gamma 120.00
loop_
_atom_site_label
_atom_site_fract_x
_atom_site_fract_y
_atom_site_fract_z
Ta1 0.0000 0.0000 0.0000
Nb1 0.0000 0.0000 0.2527
Au1 0.0000 0.0000 0.5000
```

The crystal system is trigonal. The density of states at the Fermi level is 14.9 states/eV per cell.

***

*c*
An optimized crystal structure of TaNb2Au. Source: the Alexandria database, functional PBE.

Geometry as CIF:
```
data_TaNb2Au
_space_group_name_H-M_alt 'P 4/m m m'
_space_group_IT_number 123
_space_group_name_Hall '-P 4 2'
_cell_length_a 4.419
_cell_length_b 4.419
_cell_length_c 3.682
_cell_angle_alpha 90.00
_cell_angle_beta 90.00
_cell_angle_gamma 90.00
loop_
_atom_site_label
_atom_site_fract_x
_atom_site_fract_y
_atom_site_fract_z
Ta1 0.000 0.000 0.000
Nb1 0.000 0.500 0.500
Au1 0.500 0.500 0.000
```

The crystal system is tetragonal. The density of states at the Fermi level is 2.5 states/eV per cell.

***

It is *a* that is the least stable of them.

***

*a*
An optimized crystal structure of TaNb2Au. Source: the Alexandria database, functional PBE.

Geometry as CIF:
```
data_TaNb2Au
_space_group_name_H-M_alt 'C m m m'
_space_group_IT_number 65
_space_group_name_Hall '-C 2 2'
_cell_length_a 3.521
_cell_length_b 4.422
_cell_length_c 9.274
_cell_angle_alpha 90.00
_cell_angle_beta 90.00
_cell_angle_gamma 90.00
loop_
_atom_site_label
_atom_site_fract_x
_atom_site_fract_y
_atom_site_fract_z
Ta1 0.000 0.000 0.000
Nb1 0.000 0.500 0.250
Au1 0.000 0.000 0.500
```

The crystal system is orthorhombic. The density of states at the Fermi level is 6.3 states/eV per cell.

***

*b*
An optimized crystal structure of TaNb2Au. Source: the Alexandria database, functional PBE.

Geometry as CIF:
```
data_TaNb2Au
_space_group_name_H-M_alt 'P 4/m m m'
_space_group_IT_number 123
_space_group_name_Hall '-P 4 2'
_cell_length_a 3.413
_cell_length_b 3.413
_cell_length_c 6.231
_cell_angle_alpha 90.00
_cell_angle_beta 90.00
_cell_angle_gamma 90.00
loop_
_atom_site_label
_atom_site_fract_x
_atom_site_fract_y
_atom_site_fract_z
Ta1 0.000 0.000 0.000
Nb1 0.500 0.500 0.239
Au1 0.000 0.000 0.500
```

The crystal system is tetragonal. The density of states at the Fermi level is 3.0 states/eV per cell.

***

It is *b* that is the least stable of them.

***

*a*
An optimized crystal structure of Ta6Nb2Au. Source: the Alexandria database, functional PBE.

Geometry as CIF:
```
data_Ta6Nb2Au
_space_group_name_H-M_alt 'C 1 2/m 1'
_space_group_IT_number 12
_cell_length_a 13.571
_cell_length_b 4.695
_cell_length_c 5.481
_cell_angle_alpha 90.00
_cell_angle_beta 110.71
_cell_angle_gamma 90.00
loop_
_space_group_symop_operation_xyz
'x,y,z'
'-x,-y,-z'
'-x,y,-z'
'x,-y,z'
'x+1/2,y+1/2,z'
'-x+1/2,-y+1/2,-z'
'-x+1/2,y+1/2,-z'
'x+1/2,-y+1/2,z'
loop_
_atom_site_label
_atom_site_fract_x
_atom_site_fract_y
_atom_site_fract_z
Ta1 0.057 0.000 0.268
Ta2 0.165 0.000 0.835
Ta3 0.226 0.500 0.610
Nb1 0.113 0.500 0.060
Au1 0.000 0.500 0.500
```

The crystal system is monoclinic. The density of states at the Fermi level is 16.4 states/eV per cell.

***

*b*
An optimized crystal structure of Ta6Nb2Au. Source: the Alexandria database, functional PBE.

Geometry as CIF:
```
data_Ta6Nb2Au
_space_group_name_H-M_alt 'C 1 2/m 1'
_space_group_IT_number 12
_cell_length_a 14.690
_cell_length_b 2.740
_cell_length_c 10.184
_cell_angle_alpha 90.00
_cell_angle_beta 125.07
_cell_angle_gamma 90.00
loop_
_space_group_symop_operation_xyz
'x,y,z'
'-x,-y,-z'
'-x,y,-z'
'x,-y,z'
'x+1/2,y+1/2,z'
'-x+1/2,-y+1/2,-z'
'-x+1/2,y+1/2,-z'
'x+1/2,-y+1/2,z'
loop_
_atom_site_label
_atom_site_fract_x
_atom_site_fract_y
_atom_site_fract_z
Ta1 0.052 0.000 0.265
Ta2 0.114 0.500 0.053
Ta3 0.228 0.000 0.609
Nb1 0.165 0.500 0.820
Au1 0.000 0.000 0.500
```

The crystal system is monoclinic. The density of states at the Fermi level is 18.7 states/eV per cell.

***

It is *b* that is the least stable of them.

***

*a*
An optimized crystal structure of Ta2Nb2Au. Source: the Alexandria database, functional PBE.

Geometry as CIF:
```
data_Ta2Nb2Au
_space_group_name_H-M_alt 'P 4/m b m'
_space_group_IT_number 127
_space_group_name_Hall '-P 4 2ab'
_cell_length_a 7.256
_cell_length_b 7.256
_cell_length_c 3.629
_cell_angle_alpha 90.00
_cell_angle_beta 90.00
_cell_angle_gamma 90.00
loop_
_atom_site_label
_atom_site_fract_x
_atom_site_fract_y
_atom_site_fract_z
Ta1 0.173 0.327 0.000
Nb1 0.128 0.628 0.500
Au1 0.000 0.000 0.500
```

The crystal system is tetragonal. The density of states at the Fermi level is 6.9 states/eV per cell.

***

*b*
An optimized crystal structure of Ta2Nb2Au. Source: the Alexandria database, functional PBE.

Geometry as CIF:
```
data_Ta2Nb2Au
_space_group_name_H-M_alt 'I 4/m m m'
_space_group_IT_number 139
_space_group_name_Hall '-I 4 2'
_cell_length_a 3.767
_cell_length_b 3.767
_cell_length_c 13.976
_cell_angle_alpha 90.00
_cell_angle_beta 90.00
_cell_angle_gamma 90.00
loop_
_atom_site_label
_atom_site_fract_x
_atom_site_fract_y
_atom_site_fract_z
Ta1 0.000 0.000 0.091
Nb1 0.000 0.500 0.250
Au1 0.000 0.000 0.500
```

The crystal system is tetragonal. The density of states at the Fermi level is 14.7 states/eV per cell.

***

*c*
An optimized crystal structure of Ta2Nb2Au. Source: the Alexandria database, functional PBE.

Geometry as CIF:
```
data_Ta2Nb2Au
_space_group_name_H-M_alt 'C 1 2/c 1'
_space_group_IT_number 15
_cell_length_a 13.993
_cell_length_b 6.832
_cell_length_c 4.435
_cell_angle_alpha 90.00
_cell_angle_beta 108.38
_cell_angle_gamma 90.00
loop_
_space_group_symop_operation_xyz
'x,y,z'
'-x,-y,-z'
'-x,y,-z+1/2'
'x,-y,z+1/2'
'x+1/2,y+1/2,z'
'-x+1/2,-y+1/2,-z'
'-x+1/2,y+1/2,-z+1/2'
'x+1/2,-y+1/2,z+1/2'
loop_
_atom_site_label
_atom_site_fract_x
_atom_site_fract_y
_atom_site_fract_z
Ta1 0.171 0.118 0.421
Nb1 0.158 0.367 0.908
Au1 0.000 0.345 0.250
```

The crystal system is monoclinic. The density of states at the Fermi level is 17.5 states/eV per cell.

***

*d*
An optimized crystal structure of Ta2Nb2Au. Source: the Alexandria database, functional PBE.

Geometry as CIF:
```
data_Ta2Nb2Au
_space_group_name_H-M_alt 'P 4/m b m'
_space_group_IT_number 127
_space_group_name_Hall '-P 4 2ab'
_cell_length_a 7.222
_cell_length_b 7.222
_cell_length_c 3.661
_cell_angle_alpha 90.00
_cell_angle_beta 90.00
_cell_angle_gamma 90.00
loop_
_atom_site_label
_atom_site_fract_x
_atom_site_fract_y
_atom_site_fract_z
Ta1 0.130 0.370 0.000
Nb1 0.170 0.670 0.500
Au1 0.000 0.000 0.000
```

The crystal system is tetragonal. The density of states at the Fermi level is 6.8 states/eV per cell.

***

It is *b* that is the least stable of them.